First-principles (PBE) data for a geometry-optimized Hf2SiRuRh structure, as listed in Alexandria via LeMat-Bulk.

abc: 4.910 4.399 4.910
angles: 90.00 90.00 90.00
Atoms (fractional coordinates):
Rh1 0.500 0.500 0.500
Si1 0.000 0.500 0.000
Hf1 0.000 0.000 0.500
Hf2 0.500 0.000 0.000
Ru1 0.000 0.000 0.000

## Properties
Its volume is 106.05 Å³ per cell. For the formation energy (no corrections), the calculation gives 0.26 eV/atom.